This record from the Alexandria database describes an optimized crystal structure of BaIrI. The functional is PBE-GGA.

a = 5.7729 Å, b = 5.7729 Å, c = 9.8870 Å
α = 90.00°, β = 90.00°, γ = 120.00°
Space group P6_3/mmc (No. 194)
Unique sites:
Ba 0.3333 0.6667 0.2500 x2
Ir 0.0000 0.0000 0.0000 x2
I 0.0000 0.0000 0.2500 x2

Properties
crystal system: hexagonal
relative energy among the computed polymorphs: 1.150 eV per atom
total magnetic moment: 0.00 μB per formula unit

=====

This record from the Alexandria database describes an optimized crystal structure of BaIr2I. The functional is PBE-GGA.

a = 5.297 Å, b = 5.297 Å, c = 17.140 Å
α = 90.00°, β = 90.00°, γ = 90.00°
Space group I-42d (No. 122)
Unique sites:
Ba 0.000 0.000 0.000 x4
Ir 0.048 0.250 0.625 x8
I 0.000 0.000 0.500 x4

Properties
crystal system: tetragonal
relative energy among the computed polymorphs: 0.000 eV per atom
total magnetic moment: 0.00 μB per formula unit

=====

This record from the Alexandria database describes an optimized crystal structure of BaIrI. The functional is PBE-GGA.

a = 6.450 Å, b = 4.893 Å, c = 12.567 Å
α = 90.00°, β = 90.00°, γ = 90.00°
Space group Pnma (No. 62)
Unique sites:
Ba 0.241 0.250 0.114 x4
Ir 0.237 0.750 0.887 x4
I 0.180 0.750 0.341 x4

Properties
crystal system: orthorhombic
relative energy among the computed polymorphs: 0.554 eV per atom
total magnetic moment: 0.00 μB per formula unit

=====

This record from the Alexandria database describes an optimized crystal structure of Ba5Ir2I2. The functional is PBE-GGA.

a = 18.165 Å, b = 8.755 Å, c = 8.759 Å
α = 90.00°, β = 90.00°, γ = 90.00°
Space group Cmce (No. 64)
Unique sites:
Ba 0.000 0.000 0.000 x4
Ba 0.110 0.155 0.346 x16
Ir 0.000 0.145 0.645 x8
I 0.208 0.000 0.000 x8

Properties
electronic total energy: -145.9 eV per cell
crystal system: orthorhombic
total magnetic moment: 0.00 μB per formula unit

=====

This record from the Alexandria database describes an optimized crystal structure of BaIrI. The functional is PBE-GGA.

a = 12.099 Å, b = 4.429 Å, c = 9.632 Å
α = 90.00°, β = 115.04°, γ = 90.00°
Space group Cm (No. 8)
Unique sites:
Ba 0.000 0.000 0.000 x2
Ba 0.146 0.000 0.623 x2
Ir 0.377 0.500 0.620 x2
Ir 0.448 0.000 0.704 x2
I 0.162 0.500 0.335 x2
I 0.292 0.000 0.031 x2

Properties
crystal system: monoclinic
relative energy among the computed polymorphs: 0.149 eV per atom
total magnetic moment: 0.00 μB per formula unit

=====

This record from the Alexandria database describes an optimized crystal structure of Ba3IrI. The functional is PBE-GGA.

a = 8.397 Å, b = 4.933 Å, c = 12.634 Å
α = 90.00°, β = 95.07°, γ = 90.00°
Space group P2_1/m (No. 11)
Unique sites:
Ba 0.051 0.250 0.181 x2
Ba 0.204 0.250 0.511 x2
Ba 0.437 0.750 0.769 x2
Ir 0.139 0.750 0.648 x2
I 0.265 0.750 0.030 x2

Properties
crystal system: monoclinic
relative energy among the computed polymorphs: 0.138 eV per atom
total magnetic moment: 0.00 μB per formula unit

=====

This record from the Alexandria database describes an optimized crystal structure of Ba8IrI2. The functional is PBE-GGA.

a = 15.175 Å, b = 11.367 Å, c = 7.361 Å
α = 90.00°, β = 95.69°, γ = 90.00°
Space group C2/m (No. 12)
Unique sites:
Ba 0.094 0.190 0.249 x8
Ba 0.126 0.500 0.695 x4
Ba 0.158 0.000 0.780 x4
Ir 0.000 0.000 0.000 x2
I 0.103 0.500 0.190 x4

Properties
electronic total energy: -65.2 eV per cell
crystal system: monoclinic
total magnetic moment: 1.49 μB per formula unit

=====

This record from the Alexandria database describes an optimized crystal structure of BaIrI. The functional is PBE-GGA.

a = 5.139 Å, b = 5.139 Å, c = 6.845 Å
α = 90.00°, β = 90.00°, γ = 90.00°
Space group P4/nmm (No. 129, origin choice 2)
Unique sites:
Ba 0.250 0.250 0.142 x2
Ir 0.250 0.250 0.660 x2
I 0.250 0.750 0.500 x2

Properties
crystal system: tetragonal
relative energy among the computed polymorphs: 0.894 eV per atom
total magnetic moment: 0.00 μB per formula unit

=====

This record from the Alexandria database describes an optimized crystal structure of BaIrI. The functional is PBE-GGA.

a = 4.363 Å, b = 4.391 Å, c = 13.651 Å
α = 90.38°, β = 99.07°, γ = 119.07°
Space group P1 (No. 1)
Unique sites:
Ba 0.000 0.000 0.000 x1
Ba 0.241 0.124 0.366 x1
Ir 0.443 0.742 0.183 x1
Ir 0.796 0.382 0.183 x1
I 0.226 0.604 0.833 x1
I 0.687 0.841 0.533 x1

Properties
crystal system: triclinic
relative energy among the computed polymorphs: 0.001 eV per atom
total magnetic moment: 0.00 μB per formula unit

=====

This record from the Alexandria database describes an optimized crystal structure of Ba8Ir2I. The functional is PBE-GGA.

a = 10.6751 Å, b = 10.6751 Å, c = 6.4650 Å
α = 90.00°, β = 90.00°, γ = 120.00°
Space group P-3 (No. 147)
Unique sites:
Ba 0.1754 0.3538 0.2449 x6
Ba 0.3333 0.6667 0.7492 x2
Ir 0.3333 0.6667 0.2670 x2
I 0.0000 0.0000 0.5000 x1

Properties
electronic total energy: -36.1 eV per cell
crystal system: trigonal
total magnetic moment: 0.00 μB per formula unit

=====

This record from the Alexandria database describes an optimized crystal structure of Ba3IrI. The functional is PBE-GGA.

a = 4.804 Å, b = 7.820 Å, c = 11.282 Å
α = 90.00°, β = 90.00°, γ = 90.00°
Space group Pmmn (No. 59, origin choice 2)
Unique sites:
Ba 0.250 0.004 0.135 x4
Ba 0.250 0.250 0.622 x2
Ir 0.250 0.250 0.899 x2
I 0.250 0.750 0.635 x2

Properties
crystal system: orthorhombic
relative energy among the computed polymorphs: 0.000 eV per atom
total magnetic moment: 0.00 μB per formula unit

=====

This record from the Alexandria database describes an optimized crystal structure of BaIrI2. The functional is PBE-GGA.

a = 6.125 Å, b = 6.125 Å, c = 16.423 Å
α = 90.00°, β = 90.00°, γ = 90.00°
Space group I-42d (No. 122)
Unique sites:
Ba 0.000 0.000 0.000 x4
Ir 0.000 0.000 0.500 x4
I 0.148 0.250 0.625 x8

Properties
crystal system: tetragonal
relative energy among the computed polymorphs: 0.000 eV per atom
total magnetic moment: 0.00 μB per formula unit

=====

Question: What is the total magnetic moment in the eleventh record?
Answer: 0.00 μB per formula unit

=====

Question: What is the total magnetic moment in the eighth record?
Answer: 0.00 μB per formula unit

=====

Question: Which value of total magnetic moment does entry 11 give?
Answer: 0.00 μB per formula unit

=====

Repeat the third record exactly.
This record from the Alexandria database describes an optimized crystal structure of BaIrI. The functional is PBE-GGA.

a = 6.450 Å, b = 4.893 Å, c = 12.567 Å
α = 90.00°, β = 90.00°, γ = 90.00°
Space group Pnma (No. 62)
Unique sites:
Ba 0.241 0.250 0.114 x4
Ir 0.237 0.750 0.887 x4
I 0.180 0.750 0.341 x4

Properties
crystal system: orthorhombic
relative energy among the computed polymorphs: 0.554 eV per atom
total magnetic moment: 0.00 μB per formula unit